Entry 1:
BaLaCdMo2 | GGA-PBEsol | optimized geometry

Results
E_form, eV/atom: 1.712
VASP energy, eV per cell: -23.7
Density of states at the Fermi level, states/eV/atom: 1.19

extended XYZ file:
```
5
Lattice="5.217 0.000 0.000 0.000 5.217 0.000 0.000 0.000 5.606" Properties=species:S:1:pos:R:3 pbc="T T T"
Ba 0.000 0.000 0.000
La 2.609 2.609 0.000
Cd 0.000 0.000 2.803
Mo 0.000 2.609 2.803
Mo 2.609 0.000 2.803
```

---

Entry 2:
DyB2Ir2 | GGA-PBEsol | optimized geometry

Results
E_form, eV/atom: -0.742
VASP energy, eV per cell: -84.7
Density of states at the Fermi level, states/eV/atom: 0.43

extended XYZ file:
```
10
Lattice="0.000 4.608 5.463 2.849 0.000 5.463 2.849 4.608 0.000" Properties=species:S:1:pos:R:3 pbc="T T T"
Dy 0.712 1.152 1.366
Dy 4.985 8.065 9.561
B 2.136 1.786 4.098
B 3.561 4.090 6.829
B 2.136 5.126 4.098
B 3.561 7.431 6.829
Ir 2.136 3.456 2.722
Ir 3.561 5.760 5.453
Ir 2.136 3.456 5.474
Ir 3.561 5.760 8.205
```

---

Entry 3:
LiFe2BiRh | GGA-PBEsol | optimized geometry

Results
E_form, eV/atom: 0.784
VASP energy, eV per cell: -28.4
Density of states at the Fermi level, states/eV/atom: 1.21

extended XYZ file:
```
5
Lattice="4.605 0.000 0.000 0.000 4.605 0.000 0.000 0.000 4.445" Properties=species:S:1:pos:R:3 pbc="T T T"
Li 0.000 0.000 0.000
Fe 0.000 2.302 2.222
Fe 2.302 0.000 2.222
Bi 2.302 2.302 0.000
Rh 0.000 0.000 2.222
```

---

Entry 4:
Ce2Fe2Si2C | GGA-PBEsol | optimized geometry

Results
Formation energy (no corrections), eV per formula unit: -4.47
VASP energy, eV per cell: -56.7
Density of states at the Fermi level, states/eV/atom: 1.34

extended XYZ file:
```
7
Lattice="5.198 -1.958 0.000 5.198 1.958 0.000 -4.545 0.000 5.297" Properties=species:S:1:pos:R:3 pbc="T T T"
Ce -0.822 0.000 1.766
Ce 6.674 0.000 3.531
Fe 2.304 0.000 0.987
Fe 3.547 0.000 4.310
Si -0.542 0.000 4.739
Si 6.394 0.000 0.558
C 2.926 0.000 2.649
```